1.
A plane-wave DFT calculation with PBE-GGA was carried out for a relaxed NpAg3I9 crystal.

Lattice parameters (Å, degrees): 8.5359 12.2339 12.9702 69.65 70.79 69.58
Positions (direct):
Ag: 0.6258 0.2367 0.7446
I: 0.3096 0.5181 0.3600
Ag: 0.2745 0.3977 0.2122
I: 0.5194 0.1926 0.5728
I: 0.8123 0.0181 0.8600
I: 0.1064 0.1075 0.5205
I: 0.9595 0.5086 0.5019
I: 0.5280 0.1712 0.2456
I: 0.0551 0.6712 0.7456
I: 0.7874 0.4009 0.9353
I: 0.6175 0.4813 0.6351
I: 0.2655 0.6075 0.0205
I: 0.7152 0.6926 0.0728
Ag: 0.0499 0.0871 0.3168
I: 0.0299 0.0086 0.0019
Ag: 0.1156 0.8977 0.7122
I: 0.4623 0.8472 0.7317
Ag: 0.3930 0.7367 0.2446
Np: 0.4961 0.0058 0.4834
I: 0.9588 0.3472 0.2317
I: 0.8764 0.9009 0.4353
I: 0.3077 0.3027 0.9180
Ag: 0.5462 0.5871 0.8168
I: 0.4716 0.8027 0.4180
Np: 0.0147 0.5058 0.9834
I: 0.2661 0.9813 0.1351

Properties
The formation energy (no corrections) is -0.3798 eV/atom. Its uncorrected energy is -3.106 eV/atom.

***

2.
A plane-wave DFT calculation with PBE-GGA was carried out for a relaxed NpAg2I5 crystal.

Lattice parameters (Å, degrees): 7.7047 8.0708 8.1777 66.95 65.57 65.22
Positions (direct):
I: 0.1229 0.3536 0.7805
I: 0.7280 0.9057 0.9024
Ag: 0.4769 0.0845 0.6386
I: 0.1456 0.8153 0.3460
Ag: 0.4741 0.6313 0.0931
I: 0.6569 0.2501 0.2596
I: 0.3790 0.7402 0.7565
Np: 0.0167 0.9962 0.0002

Properties
The formation energy (no corrections) is -0.4834 eV/atom. Its uncorrected energy is -3.783 eV/atom.

***

3.
A plane-wave DFT calculation with PBE-GGA was carried out for a relaxed NpAgIO6 crystal.

Lattice parameters (Å, degrees): 5.6693 5.6693 10.0824 90.00 90.00 120.00
Positions (direct):
I: 0.6667 0.3333 0.7500
O: 0.6326 0.6337 0.6421
Np: 0.6667 0.3333 0.2500
O: 0.9989 0.6326 0.3579
O: 0.3674 0.3663 0.3579
O: 0.3663 0.9989 0.6421
O: 0.3663 0.3674 0.8579
O: 0.3674 0.0011 0.1421
I: 0.3333 0.6667 0.2500
O: 0.0011 0.3674 0.6421
O: 0.9989 0.3663 0.1421
Np: 0.3333 0.6667 0.7500
O: 0.6326 0.9989 0.8579
O: 0.6337 0.6326 0.1421
O: 0.0011 0.6337 0.8579
Ag: 0.0000 0.0000 0.5000
O: 0.6337 0.0011 0.3579
Ag: 0.0000 0.0000 0.0000

Properties
The formation energy (no corrections) is -1.2238 eV/atom. Its uncorrected energy is -6.456 eV/atom.

***

4.
A plane-wave DFT calculation with PBE-GGA was carried out for a relaxed NpAg2IO6 crystal.

Lattice parameters (Å, degrees): 4.3539 5.9121 5.9121 90.00 90.00 90.00
Positions (direct):
O: 0.6152 0.7463 0.2537
O: 0.1268 0.0000 0.0000
O: 0.2082 0.5000 0.5000
O: 0.6152 0.7463 0.7463
O: 0.6152 0.2537 0.7463
Ag: 0.1963 0.5000 0.0000
Np: 0.6281 0.0000 0.0000
Ag: 0.1963 0.0000 0.5000
I: 0.6303 0.5000 0.5000
O: 0.6152 0.2537 0.2537

Properties
The formation energy (no corrections) is -1.0225 eV/atom. Its uncorrected energy is -6.017 eV/atom.

***

5.
A plane-wave DFT calculation with PBE-GGA was carried out for a relaxed NpAg2PbI8 crystal.

Lattice parameters (Å, degrees): 7.6215 7.8811 9.3213 72.08 90.01 101.04
Positions (direct):
I: 0.1041 0.7498 0.2980
I: 0.1234 0.7754 0.8264
I: 0.8766 0.2246 0.1736
Ag: 0.5387 0.3521 0.6678
I: 0.3977 0.2546 0.4188
Pb: 0.0000 0.0000 0.5000
I: 0.3640 0.2368 0.9588
I: 0.6023 0.7454 0.5812
I: 0.8959 0.2502 0.7020
Ag: 0.4613 0.6479 0.3322
Np: 0.0000 0.0000 0.0000
I: 0.6360 0.7632 0.0412

Properties
The formation energy (no corrections) is -0.5508 eV/atom. Its uncorrected energy is -3.447 eV/atom.

***

6.
A plane-wave DFT calculation with PBE-GGA was carried out for a relaxed NpAgPbI6 crystal.

Lattice parameters (Å, degrees): 7.7237 7.7237 14.6486 90.00 90.00 120.00
Positions (direct):
Ag: 0.6667 0.3333 0.7500
Np: 0.6667 0.3333 0.2500
I: 0.0037 0.3511 0.1265
I: 0.6489 0.6525 0.1265
I: 0.6489 0.9963 0.3735
Pb: 0.0000 0.0000 0.5000
I: 0.9963 0.3475 0.6265
I: 0.0037 0.6525 0.3735
I: 0.6525 0.6489 0.6265
I: 0.6525 0.0037 0.8735
I: 0.9963 0.6489 0.8735
I: 0.3511 0.3475 0.8735
Pb: 0.0000 0.0000 0.0000
I: 0.3511 0.0037 0.6265
Ag: 0.3333 0.6667 0.2500
I: 0.3475 0.3511 0.3735
I: 0.3475 0.9963 0.1265
Np: 0.3333 0.6667 0.7500

Properties
The formation energy (no corrections) is -0.6014 eV/atom. Its uncorrected energy is -3.802 eV/atom.

***

7.
A plane-wave DFT calculation with PBE-GGA was carried out for a relaxed Rb2NpAgI6 crystal.

Lattice parameters (Å, degrees): 8.3494 8.7946 11.9039 90.00 89.69 90.00
Positions (direct):
Rb: 0.4755 0.4242 0.2492
Np: 0.0000 0.5000 0.0000
Rb: 0.0245 0.9242 0.2508
Np: 0.5000 0.0000 0.5000
I: 0.6952 0.2980 0.5403
Ag: 0.0000 0.5000 0.5000
I: 0.4126 0.9853 0.7547
I: 0.9126 0.5147 0.2547
I: 0.8013 0.8001 0.5458
I: 0.0874 0.4853 0.7453
Rb: 0.9755 0.0758 0.7492
I: 0.6987 0.3001 0.9542
I: 0.8048 0.7980 0.9597
I: 0.3013 0.6999 0.0458
Rb: 0.5245 0.5758 0.7508
I: 0.5874 0.0147 0.2453
I: 0.1952 0.2020 0.0403
I: 0.3048 0.7020 0.4597
I: 0.1987 0.1999 0.4542
Ag: 0.5000 0.0000 0.0000

Properties
The formation energy (no corrections) is -0.9852 eV/atom. Its uncorrected energy is -3.688 eV/atom.

***

8.
A plane-wave DFT calculation with PBE-GGA was carried out for a relaxed RbNpAgI6 crystal.

Lattice parameters (Å, degrees): 7.8328 7.8328 16.4850 90.00 90.00 120.00
Positions (direct):
Np: 0.3333 0.6667 0.7500
I: 0.3692 0.0065 0.1432
I: 0.0065 0.3692 0.6432
Rb: 0.0000 0.0000 0.0000
I: 0.6308 0.9935 0.8568
Ag: 0.6667 0.3333 0.7500
I: 0.6373 0.0065 0.3568
Ag: 0.3333 0.6667 0.2500
I: 0.3627 0.9935 0.6432
Np: 0.6667 0.3333 0.2500
I: 0.3627 0.3692 0.8568
I: 0.9935 0.3627 0.1432
I: 0.9935 0.6308 0.3568
Rb: 0.0000 0.0000 0.5000
I: 0.3692 0.3627 0.3568
I: 0.6308 0.6373 0.6432
I: 0.6373 0.6308 0.1432
I: 0.0065 0.6373 0.8568

Properties
The formation energy (no corrections) is -0.8029 eV/atom. Its uncorrected energy is -3.698 eV/atom.

***

9.
A plane-wave DFT calculation with PBE-GGA was carried out for a relaxed RbNpAg2I6 crystal.

Lattice parameters (Å, degrees): 9.6015 11.9378 11.9378 70.43 58.05 58.05
Positions (direct):
I: 0.7788 0.0245 0.1808
I: 0.8248 0.3974 0.9157
I: 0.3248 0.9157 0.3974
I: 0.2212 0.9755 0.8192
Ag: 0.4603 0.8776 0.5719
Ag: 0.5397 0.1224 0.4281
Np: 0.7500 0.7527 0.2473
I: 0.2788 0.1808 0.0245
Np: 0.2500 0.2473 0.7527
I: 0.6756 0.5129 0.2993
I: 0.7212 0.8192 0.9755
Rb: 0.7500 0.1675 0.8325
I: 0.8244 0.7007 0.4871
I: 0.1752 0.6026 0.0843
Rb: 0.2500 0.8325 0.1675
I: 0.6752 0.0843 0.6026
I: 0.3244 0.4871 0.7007
Ag: 0.9603 0.5719 0.8776
Ag: 0.0397 0.4281 0.1224
I: 0.1756 0.2993 0.5129

Properties
The formation energy (no corrections) is -0.7325 eV/atom. Its uncorrected energy is -3.624 eV/atom.

***

10.
A plane-wave DFT calculation with PBE-GGA was carried out for a relaxed Rb2NpAg2I6 crystal.

Lattice parameters (Å, degrees): 8.8704 8.6166 9.0249 115.29 90.00 120.98
Positions (direct):
Rb: 0.7279 0.4558 0.1817
Rb: 0.2721 0.5442 0.8183
I: 0.7347 0.4693 0.5918
Ag: 0.0465 0.0929 0.1784
I: 0.3241 0.1259 0.7969
I: 0.8018 0.1259 0.7969
Np: 0.5000 0.0000 0.5000
I: 0.2653 0.5307 0.4082
I: 0.1982 0.8741 0.2031
Ag: 0.9535 0.9071 0.8216
I: 0.6759 0.8741 0.2031

Properties
The formation energy (no corrections) is -0.7635 eV/atom. Its uncorrected energy is -3.480 eV/atom.

***

11.
A plane-wave DFT calculation with PBE-GGA was carried out for a relaxed Rb3NpAg2I8 crystal.

Lattice parameters (Å, degrees): 8.5641 8.5641 10.7221 90.00 90.00 120.00
Positions (direct):
I: 0.1654 0.8346 0.3243
Ag: 0.3333 0.6667 0.1796
Rb: 0.3333 0.6667 0.6045
I: 0.3333 0.6667 0.9295
I: 0.6692 0.8346 0.3243
I: 0.8346 0.1654 0.6757
Rb: 0.0000 0.0000 0.0000
Rb: 0.6667 0.3333 0.3955
Ag: 0.6667 0.3333 0.8204
I: 0.8346 0.6692 0.6757
I: 0.6667 0.3333 0.0705
I: 0.3308 0.1654 0.6757
I: 0.1654 0.3308 0.3243
Np: 0.0000 0.0000 0.5000

Properties
The formation energy (no corrections) is -0.8945 eV/atom. Its uncorrected energy is -3.319 eV/atom.

***

12.
A plane-wave DFT calculation with PBE-GGA was carried out for a relaxed SrNpAg2I8 crystal.

Lattice parameters (Å, degrees): 7.6359 7.9386 9.4555 71.93 90.29 101.33
Positions (direct):
I: 0.8777 0.2239 0.1698
I: 0.3639 0.2363 0.9588
I: 0.5981 0.7427 0.5780
I: 0.1051 0.7497 0.2938
Sr: 0.0000 0.0000 0.5000
Ag: 0.5374 0.3503 0.6720
Ag: 0.4626 0.6497 0.3280
I: 0.4019 0.2573 0.4220
I: 0.6361 0.7637 0.0412
I: 0.8949 0.2503 0.7062
Np: 0.0000 0.0000 0.0000
I: 0.1223 0.7761 0.8302

Properties
The formation energy (no corrections) is -0.8092 eV/atom. Its uncorrected energy is -3.536 eV/atom.

***

Please write out number 10 again, unchanged.
A plane-wave DFT calculation with PBE-GGA was carried out for a relaxed Rb2NpAg2I6 crystal.

Lattice parameters (Å, degrees): 8.8704 8.6166 9.0249 115.29 90.00 120.98
Positions (direct):
Rb: 0.7279 0.4558 0.1817
Rb: 0.2721 0.5442 0.8183
I: 0.7347 0.4693 0.5918
Ag: 0.0465 0.0929 0.1784
I: 0.3241 0.1259 0.7969
I: 0.8018 0.1259 0.7969
Np: 0.5000 0.0000 0.5000
I: 0.2653 0.5307 0.4082
I: 0.1982 0.8741 0.2031
Ag: 0.9535 0.9071 0.8216
I: 0.6759 0.8741 0.2031

Properties
The formation energy (no corrections) is -0.7635 eV/atom. Its uncorrected energy is -3.480 eV/atom.

***

Please write out number 12 again, unchanged.
A plane-wave DFT calculation with PBE-GGA was carried out for a relaxed SrNpAg2I8 crystal.

Lattice parameters (Å, degrees): 7.6359 7.9386 9.4555 71.93 90.29 101.33
Positions (direct):
I: 0.8777 0.2239 0.1698
I: 0.3639 0.2363 0.9588
I: 0.5981 0.7427 0.5780
I: 0.1051 0.7497 0.2938
Sr: 0.0000 0.0000 0.5000
Ag: 0.5374 0.3503 0.6720
Ag: 0.4626 0.6497 0.3280
I: 0.4019 0.2573 0.4220
I: 0.6361 0.7637 0.0412
I: 0.8949 0.2503 0.7062
Np: 0.0000 0.0000 0.0000
I: 0.1223 0.7761 0.8302

Properties
The formation energy (no corrections) is -0.8092 eV/atom. Its uncorrected energy is -3.536 eV/atom.